This record from Alexandria via LeMat-Bulk describes a geometry-optimized BP2Au structure. The functional is GGA-PBE.

abc: 3.3623 4.4427 4.9720
angles: 85.65 72.42 78.22
Fractional coordinates of all 4 atoms:
B (0.0000, 0.0000, 0.0000)
P (0.0444, 0.9558, 0.3955)
P (0.5649, 0.0979, 0.8022)
Au (0.0429, 0.4968, 0.1623)

The calculation puts the formation energy at 334 meV/atom. The spin magnetization is 0.00 μB per formula unit. As for the symmetry: P1. The value obtained for the raw total energy is -19.44 eV per cell.

---

This record from Alexandria via LeMat-Bulk describes a geometry-optimized Tb6Pm2Pr3In structure. The functional is GGA-PBE.

abc: 6.1909 6.1909 11.8567
angles: 95.01 95.01 120.05
Fractional coordinates of all 12 atoms:
Tb (0.0809, 0.4072, 0.2445)
Tb (0.2450, 0.2450, 0.7544)
Tb (0.4072, 0.0809, 0.2445)
Tb (0.5928, 0.9191, 0.7555)
Tb (0.7550, 0.7550, 0.2456)
Tb (0.9191, 0.5928, 0.7555)
Pm (0.3337, 0.6663, 0.0000)
Pm (0.6663, 0.3337, 0.0000)
Pr (0.1679, 0.8321, 0.5000)
Pr (0.5000, 0.5000, 0.5000)
Pr (0.8321, 0.1679, 0.5000)
In (0.0000, 0.0000, 0.0000)

The calculation puts the formation energy at -51 meV/atom. The spin magnetization is 0.00 μB per formula unit. As for the symmetry: C2/m. The value obtained for the raw total energy is -54.97 eV per cell.

---

This record from Alexandria via LeMat-Bulk describes a geometry-optimized LiTiN structure. The functional is GGA-PBE.

abc: 2.8895 21.9663 2.8410
angles: 90.00 90.00 90.00
Fractional coordinates of all 12 atoms:
Li (0.0000, 0.1991, 0.2500)
Li (0.0000, 0.8009, 0.7500)
Li (0.5000, 0.3009, 0.7500)
Li (0.5000, 0.6991, 0.2500)
Ti (0.0000, 0.0612, 0.2500)
Ti (0.0000, 0.9388, 0.7500)
Ti (0.5000, 0.4388, 0.7500)
Ti (0.5000, 0.5612, 0.2500)
N (0.0000, 0.4297, 0.2500)
N (0.0000, 0.5703, 0.7500)
N (0.5000, 0.0703, 0.7500)
N (0.5000, 0.9297, 0.2500)

The calculation puts the energy relative to the elements, uncorrected at -0.662 eV per atom. The spin magnetization is 0.00 μB per formula unit. As for the symmetry: Cmcm. The value obtained for the raw total energy is -80.48 eV per cell.

---

This record from Alexandria via LeMat-Bulk describes a geometry-optimized Li2AlMo structure. The functional is GGA-PBE.

abc: 3.6919 3.6919 4.4166
angles: 90.00 90.00 90.00
Fractional coordinates of all 4 atoms:
Li (0.0000, 0.5000, 0.0000)
Li (0.5000, 0.0000, 0.0000)
Al (0.0000, 0.0000, 0.5000)
Mo (0.5000, 0.5000, 0.5000)

The calculation puts the formation energy at 159 meV/atom. The spin magnetization is 0.28 μB per formula unit. As for the symmetry: P4/mmm. The value obtained for the raw total energy is -17.77 eV per cell.

---

This record from Alexandria via LeMat-Bulk describes a geometry-optimized Er5MgAl2 structure. The functional is GGA-PBE.

abc: 5.9131 5.9131 16.4117
angles: 90.00 90.00 134.00
Fractional coordinates of all 16 atoms:
Er (0.0231, 0.9769, 0.7500)
Er (0.1565, 0.8435, 0.5413)
Er (0.1565, 0.8435, 0.9587)
Er (0.4567, 0.5433, 0.5997)
Er (0.4567, 0.5433, 0.9003)
Er (0.5433, 0.4567, 0.0997)
Er (0.5433, 0.4567, 0.4003)
Er (0.8435, 0.1565, 0.0413)
Er (0.8435, 0.1565, 0.4587)
Er (0.9769, 0.0231, 0.2500)
Mg (0.3005, 0.6995, 0.7500)
Mg (0.6995, 0.3005, 0.2500)
Al (0.2604, 0.7396, 0.1561)
Al (0.2604, 0.7396, 0.3439)
Al (0.7396, 0.2604, 0.6561)
Al (0.7396, 0.2604, 0.8439)

The calculation puts the formation energy at -100 meV/atom. The spin magnetization is 0.00 μB per formula unit. As for the symmetry: Cmcm. The value obtained for the raw total energy is -65.39 eV per cell.

---

This record from Alexandria via LeMat-Bulk describes a geometry-optimized CaPmHgRh structure. The functional is GGA-PBE.

abc: 3.6323 3.6323 7.3920
angles: 90.00 90.00 90.00
Fractional coordinates of all 4 atoms:
Ca (0.0000, 0.0000, 0.0000)
Pm (0.0000, 0.0000, 0.5508)
Hg (0.5000, 0.5000, 0.2696)
Rh (0.5000, 0.5000, 0.7458)

The calculation puts the formation energy at -550 meV/atom. The spin magnetization is 0.00 μB per formula unit. As for the symmetry: P4mm. The value obtained for the raw total energy is -16.61 eV per cell.

---

This record from Alexandria via LeMat-Bulk describes a geometry-optimized Ho12Pd6N structure. The functional is GGA-PBE.

abc: 7.9531 7.9531 7.9531
angles: 98.32 98.32 98.32
Fractional coordinates of all 19 atoms:
Ho (0.0198, 0.9210, 0.6949)
Ho (0.0790, 0.3051, 0.9802)
Ho (0.1875, 0.5629, 0.4147)
Ho (0.3051, 0.9802, 0.0790)
Ho (0.4147, 0.1875, 0.5629)
Ho (0.4371, 0.5853, 0.8125)
Ho (0.5629, 0.4147, 0.1875)
Ho (0.5853, 0.8125, 0.4371)
Ho (0.6949, 0.0198, 0.9210)
Ho (0.8125, 0.4371, 0.5853)
Ho (0.9210, 0.6949, 0.0198)
Ho (0.9802, 0.0790, 0.3051)
Pd (0.1189, 0.2993, 0.6367)
Pd (0.2993, 0.6367, 0.1189)
Pd (0.3633, 0.8811, 0.7007)
Pd (0.6367, 0.1189, 0.2993)
Pd (0.7007, 0.3633, 0.8811)
Pd (0.8811, 0.7007, 0.3633)
N (0.0000, 0.0000, 0.0000)

The calculation puts the energy relative to the elements, uncorrected at -0.646 eV per atom. The spin magnetization is 0.00 μB per formula unit. As for the symmetry: R-3. The value obtained for the raw total energy is -106.69 eV per cell.

---

This record from Alexandria via LeMat-Bulk describes a geometry-optimized PrDyHoIn structure. The functional is GGA-PBE.

abc: 7.8000 7.8000 7.8000
angles: 90.00 90.00 90.00
Fractional coordinates of all 16 atoms:
Pr (0.0000, 0.0000, 0.0000)
Pr (0.0000, 0.5000, 0.5000)
Pr (0.5000, 0.0000, 0.5000)
Pr (0.5000, 0.5000, 0.0000)
Dy (0.0000, 0.0000, 0.5000)
Dy (0.0000, 0.5000, 0.0000)
Dy (0.5000, 0.0000, 0.0000)
Dy (0.5000, 0.5000, 0.5000)
Ho (0.2500, 0.2500, 0.2500)
Ho (0.2500, 0.7500, 0.7500)
Ho (0.7500, 0.2500, 0.7500)
Ho (0.7500, 0.7500, 0.2500)
In (0.2500, 0.2500, 0.7500)
In (0.2500, 0.7500, 0.2500)
In (0.7500, 0.2500, 0.2500)
In (0.7500, 0.7500, 0.7500)

The calculation puts the formation energy at -139 meV/atom. The spin magnetization is 0.97 μB per formula unit. As for the symmetry: F-43m. The value obtained for the raw total energy is -69.02 eV per cell.

---

This record from Alexandria via LeMat-Bulk describes a geometry-optimized SiWBr2 structure. The functional is GGA-PBE.

abc: 3.3083 3.3083 27.1786
angles: 90.00 90.00 120.00
Fractional coordinates of all 12 atoms:
Si (0.0000, 0.0000, 0.0000)
Si (0.3333, 0.6667, 0.6667)
Si (0.6667, 0.3333, 0.3333)
W (0.0000, 0.0000, 0.2724)
W (0.3333, 0.6667, 0.9391)
W (0.6667, 0.3333, 0.6058)
Br (0.0000, 0.0000, 0.5374)
Br (0.0000, 0.0000, 0.7374)
Br (0.3333, 0.6667, 0.2040)
Br (0.3333, 0.6667, 0.4041)
Br (0.6667, 0.3333, 0.0707)
Br (0.6667, 0.3333, 0.8707)

The calculation puts the energy relative to the elements, uncorrected at 0.174 eV per atom. The spin magnetization is 0.00 μB per formula unit. As for the symmetry: R3m. The value obtained for the raw total energy is -63.08 eV per cell.

---

This record from Alexandria via LeMat-Bulk describes a geometry-optimized Pm3Tm3Ga4 structure. The functional is GGA-PBE.

abc: 4.4161 7.6585 7.6585
angles: 90.72 90.00 90.00
Fractional coordinates of all 10 atoms:
Pm (0.0000, 0.0000, 0.0000)
Pm (0.0000, 0.4953, 0.8460)
Pm (0.0000, 0.8460, 0.4953)
Tm (0.0000, 0.3481, 0.3481)
Tm (0.5000, 0.1716, 0.6704)
Tm (0.5000, 0.6704, 0.1716)
Ga (0.5000, 0.0568, 0.2940)
Ga (0.5000, 0.2940, 0.0568)
Ga (0.5000, 0.5463, 0.5463)
Ga (0.5000, 0.7905, 0.7905)

The calculation puts the formation energy at -521 meV/atom. The spin magnetization is 0.00 μB per formula unit. As for the symmetry: Amm2. The value obtained for the raw total energy is -44.98 eV per cell.

---

This record from Alexandria via LeMat-Bulk describes a geometry-optimized RbSm2GaO5 structure. The functional is GGA-PBE.

abc: 7.4604 7.4604 7.4604
angles: 125.85 125.85 80.14
Fractional coordinates of all 18 atoms:
Rb (0.2500, 0.2500, 0.0000)
Rb (0.7500, 0.7500, 0.0000)
Sm (0.1809, 0.6809, 0.8618)
Sm (0.3191, 0.1809, 0.5000)
Sm (0.6809, 0.8191, 0.5000)
Sm (0.8191, 0.3191, 0.1382)
Ga (0.2500, 0.7500, 0.5000)
Ga (0.7500, 0.2500, 0.5000)
O (0.0000, 0.0000, 0.0000)
O (0.0042, 0.2339, 0.5000)
O (0.2339, 0.7339, 0.2298)
O (0.2661, 0.4958, 0.5000)
O (0.4958, 0.9958, 0.2298)
O (0.5000, 0.5000, 0.0000)
O (0.5042, 0.0042, 0.7702)
O (0.7339, 0.5042, 0.5000)
O (0.7661, 0.2661, 0.7702)
O (0.9958, 0.7661, 0.5000)

The calculation puts the energy relative to the elements, uncorrected at -2.610 eV per atom. The spin magnetization is 0.00 μB per formula unit. As for the symmetry: I4/mcm. The value obtained for the raw total energy is -123.43 eV per cell.

---

This record from Alexandria via LeMat-Bulk describes a geometry-optimized AlAs2S6 structure. The functional is GGA-PBE.

abc: 5.7501 5.7501 11.0048
angles: 90.00 90.00 90.00
Fractional coordinates of all 18 atoms:
Al (0.0000, 0.0000, 0.0000)
Al (0.5000, 0.5000, 0.5000)
As (0.0000, 0.0000, 0.3350)
As (0.0000, 0.0000, 0.6650)
As (0.5000, 0.5000, 0.1650)
As (0.5000, 0.5000, 0.8350)
S (0.1916, 0.1916, 0.1628)
S (0.1916, 0.1916, 0.8372)
S (0.1989, 0.1989, 0.5000)
S (0.3011, 0.6989, 0.0000)
S (0.3084, 0.6916, 0.3372)
S (0.3084, 0.6916, 0.6628)
S (0.6916, 0.3084, 0.3372)
S (0.6916, 0.3084, 0.6628)
S (0.6989, 0.3011, 0.0000)
S (0.8011, 0.8011, 0.5000)
S (0.8084, 0.8084, 0.1628)
S (0.8084, 0.8084, 0.8372)

The calculation puts the energy relative to the elements, uncorrected at -0.010 eV per atom. The spin magnetization is 0.00 μB per formula unit. As for the symmetry: P4_2/mnm. The value obtained for the raw total energy is -75.80 eV per cell.